Nd5Y2: optimized geometry, PBE-GGA. Values from VASP.

Structure (Quantum ESPRESSO input):
```
&SYSTEM
  ibrav = 0, nat = 7, ntyp = 2
/
ATOMIC_SPECIES
Nd 144.24 Nd.upf
Y 88.91 Y.upf
CELL_PARAMETERS angstrom
2.914 1.683 8.219
-2.914 1.683 8.219
0.000 -3.365 8.219
ATOMIC_POSITIONS crystal
Nd 0.000 0.000 0.000
Nd 0.292 0.292 0.292
Nd 0.431 0.431 0.431
Nd 0.569 0.569 0.569
Nd 0.708 0.708 0.708
Y 0.151 0.151 0.151
Y 0.849 0.849 0.849
```

Computed properties:
The value obtained for the energy is -5.1234 eV per atom. The value obtained for the total magnetization is 0.00 μB/f.u. The relative energy among the computed polymorphs is 0 meV/atom. The value obtained for the energy of formation is 0.1291 eV/atom.